# 1
DFT (PBE-GGA) results for crystalline TbY at its relaxed geometry.

a b c (Å): 3.6322 3.6322 5.6690
angles (deg): 90.00 90.00 120.00
Last column: nearest neighbours and their distance in Å.
Space group P-6m2 (No. 187)
Unique sites:
Tb 0.0000 0.0000 0.0000  6 Y 3.53, 6 Tb 3.63
Y 0.6667 0.3333 0.5000  6 Tb 3.53, 6 Y 3.63

Values from the calculation:
Formation enthalpy at 0 K = 8 meV/atom
Calculated density = 6.35 Mg/m³
Calculated volume = 64.8 Å³/cell
Energy above the lowest structure with this stoichiometry = 0.000 eV per atom


# 2
DFT (PBE-GGA) results for crystalline LuHfPO at its relaxed geometry.

a b c (Å): 4.0814 4.0814 8.2707
angles (deg): 90.00 90.00 90.00
Last column: nearest neighbours and their distance in Å.
Space group P4/nmm (No. 129, origin choice 2)
Unique sites:
Lu 0.2500 0.2500 0.1120  4 O 2.24
Hf 0.2500 0.7500 0.5000  4 P 2.58, 4 Hf 2.89
P 0.2500 0.2500 0.6911  4 Hf 2.58
O 0.2500 0.7500 0.0000  4 Lu 2.24

Values from the calculation:
Calculated density = 9.65 Mg/m³
Calculated volume = 137.8 Å³/cell
Energy above the lowest structure with this stoichiometry = 0.000 eV per atom


# 3
DFT (PBE-GGA) results for crystalline LiZnSi2 at its relaxed geometry.

a b c (Å): 6.1939 6.1939 6.1939
angles (deg): 90.00 90.00 90.00
Last column: nearest neighbours and their distance in Å.
Space group F-43m (No. 216)
Unique sites:
Li 0.0000 0.0000 0.0000  4 Si 2.68, 4 Zn 2.68
Zn 0.2500 0.2500 0.2500  4 Li 2.68, 4 Si 2.68
Si 0.0000 0.0000 0.5000  4 Si 2.68, 4 Zn 2.68
Si 0.2500 0.2500 0.7500  4 Li 2.68, 4 Si 2.68

Values from the calculation:
Calculated density = 3.59 Mg/m³
Electronic total energy = -3.3035 eV per atom
Calculated volume = 237.6 Å³/cell


# 4
DFT (PBE-GGA) results for crystalline BaGdCuTe2Se at its relaxed geometry.

a b c (Å): 4.3339 14.9807 10.9151
angles (deg): 90.00 90.00 90.00
Last column: nearest neighbours and their distance in Å.
Space group Cmcm (No. 63)
Unique sites:
Ba 0.0000 0.2315 0.2500  2 Se 3.31, 6 Te 3.55-3.67
Gd 0.0000 0.5000 0.0000  2 Se 2.89, 4 Te 3.10
Cu 0.0000 0.0284 0.7500  2 Se 2.57, 2 Te 2.65
Te 0.0000 0.1405 0.5621  1 Cu 2.65
Se 0.0000 0.4359 0.7500  2 Cu 2.57

Values from the calculation:
Calculated density = 6.49 Mg/m³
Electronic total energy = -4.7075 eV per atom
Calculated volume = 708.7 Å³/cell


# 5
DFT (PBE-GGA) results for crystalline LaPrSbF2 at its relaxed geometry.

a b c (Å): 4.2396 4.2396 7.3064
angles (deg): 90.00 90.00 120.00
Last column: nearest neighbours and their distance in Å.
Space group P3m1 (No. 156)
Unique sites:
La 0.0000 0.0000 0.0000  4 F 2.44-2.63
Pr 0.3333 0.6667 0.5326  4 F 2.47-2.63
Sb 0.6667 0.3333 0.2702  3 Pr 3.11, 3 La 3.14
F 0.0000 0.0000 0.6654  1 La 2.44, 3 Pr 2.63
F 0.3333 0.6667 0.8701  1 Pr 2.47, 3 La 2.63

Values from the calculation:
Calculated density = 6.42 Mg/m³
Electronic total energy = -6.0836 eV per atom
Calculated volume = 113.7 Å³/cell


# 6
DFT (PBE-GGA) results for crystalline CsHfBi at its relaxed geometry.

a b c (Å): 7.4824 7.4824 7.4824
angles (deg): 90.00 90.00 90.00
Last column: nearest neighbours and their distance in Å.
Space group F-43m (No. 216)
Unique sites:
Cs 0.0000 0.0000 0.0000  4 Hf 3.24
Hf 0.2500 0.2500 0.7500  4 Bi 3.24, 4 Cs 3.24
Bi 0.0000 0.0000 0.5000  4 Hf 3.24

Values from the calculation:
Calculated density = 8.25 Mg/m³
Electronic total energy = -4.1191 eV per atom
Calculated volume = 418.9 Å³/cell


# 7
DFT (PBE-GGA) results for crystalline HfZn at its relaxed geometry.

a b c (Å): 2.9737 2.9737 4.8893
angles (deg): 90.00 90.00 120.00
Last column: nearest neighbours and their distance in Å.
Space group P-6m2 (No. 187)
Unique sites:
Hf 0.0000 0.0000 0.0000  6 Hf 2.97, 6 Zn 2.99
Zn 0.6667 0.3333 0.5000  6 Zn 2.97, 6 Hf 2.99

Values from the calculation:
Formation enthalpy at 0 K = 37 meV/atom
Calculated density = 10.82 Mg/m³
Calculated volume = 37.4 Å³/cell


# 8
DFT (PBE-GGA) results for crystalline GdInOs at its relaxed geometry.

a b c (Å): 6.7345 6.7345 6.7345
angles (deg): 90.00 90.00 90.00
Last column: nearest neighbours and their distance in Å.
Space group F-43m (No. 216)
Unique sites:
Gd 0.0000 0.0000 0.0000  4 Os 2.92, 4 In 2.92
In 0.2500 0.2500 0.7500  4 Gd 2.92
Os 0.2500 0.2500 0.2500  4 Gd 2.92

Values from the calculation:
Calculated density = 10.05 Mg/m³
Electronic total energy = -5.4042 eV per atom
Calculated volume = 305.4 Å³/cell


# 9
DFT (PBE-GGA) results for crystalline ZnNi6Mo at its relaxed geometry.

a b c (Å): 3.6001 3.6001 7.1613
angles (deg): 90.00 90.00 90.00
Last column: nearest neighbours and their distance in Å.
Space group P4/mmm (No. 123)
Unique sites:
Zn 0.0000 0.0000 0.0000  12 Ni 2.55
Ni 0.0000 0.5000 0.2523  2 Mo 2.53, 8 Ni 2.53-2.55, 2 Zn 2.55
Ni 0.5000 0.5000 0.0000  4 Zn 2.55, 8 Ni 2.55
Ni 0.5000 0.5000 0.5000  8 Ni 2.53, 4 Mo 2.55
Mo 0.0000 0.0000 0.5000  12 Ni 2.53-2.55

Values from the calculation:
Formation enthalpy at 0 K = -146 meV/atom
Calculated density = 9.19 Mg/m³
Calculated volume = 92.8 Å³/cell


# 10
DFT (PBE-GGA) results for crystalline Lu2TaIn at its relaxed geometry.

a b c (Å): 7.1362 7.1362 7.1362
angles (deg): 90.00 90.00 90.00
Last column: nearest neighbours and their distance in Å.
Space group F-43m (No. 216)
Unique sites:
Lu 0.0000 0.0000 0.0000  4 Lu 3.09, 4 Ta 3.09
Lu 0.2500 0.2500 0.2500  4 In 3.09, 4 Lu 3.09
Ta 0.2500 0.2500 0.7500  4 In 3.09, 4 Lu 3.09
In 0.0000 0.0000 0.5000  4 Ta 3.09, 4 Lu 3.09

Values from the calculation:
Calculated density = 11.80 Mg/m³
Electronic total energy = -5.7028 eV per atom
Calculated volume = 363.4 Å³/cell


# 11
DFT (PBE-GGA) results for crystalline BaAlGa2Ir at its relaxed geometry.

a b c (Å): 4.2293 4.2293 11.8814
angles (deg): 90.00 90.00 90.00
Last column: nearest neighbours and their distance in Å.
Space group I-4m2 (No. 119)
Unique sites:
Ba 0.0000 0.0000 0.0000  8 Ga 3.34, 4 Ir 3.65, 4 Al 3.65
Al 0.0000 0.5000 0.2500  4 Ga 2.58
Ga 0.0000 0.0000 0.3745  2 Al 2.58, 2 Ir 2.58
Ir 0.0000 0.5000 0.7500  4 Ga 2.58

Values from the calculation:
Calculated density = 7.75 Mg/m³
Electronic total energy = -4.4885 eV per atom
Calculated volume = 212.5 Å³/cell


# 12
DFT (PBE-GGA) results for crystalline AlPAuO at its relaxed geometry.

a b c (Å): 4.2028 4.2028 8.1411
angles (deg): 90.00 90.00 90.00
Last column: nearest neighbours and their distance in Å.
Space group P4/nmm (No. 129, origin choice 2)
Unique sites:
Al 0.2500 0.7500 0.0000  4 P 2.44
P 0.2500 0.2500 0.1521  4 Al 2.44
Au 0.2500 0.2500 0.5623  4 O 2.16
O 0.2500 0.7500 0.5000  4 Au 2.16

Values from the calculation:
Calculated density = 6.26 Mg/m³
Calculated volume = 143.8 Å³/cell
Energy above the lowest structure with this stoichiometry = 1.013 eV per atom


- Which value of calculated volume does entry 11 give?
  212.5 Å³/cell